No. 1
VASP calculation (PBE) on crystalline PmMg5Sn2 at its relaxed geometry.

Calculated values
energy	-44.9	eV for the cell shown
size of the total moment	0.000	μB per formula unit
E_form	-0.22	eV per atom

Geometry as CIF:
```
data_PmMg5Sn2
_chemical_formula_sum 'Pm2 Mg10 Sn4'
_cell_length_a 4.4151
_cell_length_b 8.7628
_cell_length_c 10.5291
_cell_angle_alpha 90.00
_cell_angle_beta 90.00
_cell_angle_gamma 90.00
_symmetry_space_group_name_H-M 'I m m m'
_symmetry_Int_Tables_number 71
_symmetry_space_group_name_Hall '-I 2 2'
loop_
_atom_site_label
_atom_site_fract_x
_atom_site_fract_y
_atom_site_fract_z
Pm1 0.0000 0.0000 0.0000
Mg1 0.0000 0.1824 0.3535
Mg2 0.0000 0.5000 0.0000
Sn1 0.0000 0.5000 0.2743
```


No. 2
VASP calculation (PBE) on crystalline Pm12MgSn7 at its relaxed geometry.

Calculated values
energy	-287.0	eV for the cell shown
size of the total moment	0.001	μB per formula unit
E_form	-0.45	eV per atom

Geometry as CIF:
```
data_Pm12MgSn7
_chemical_formula_sum 'Pm36 Mg3 Sn21'
_cell_length_a 14.6737
_cell_length_b 14.6737
_cell_length_c 9.8930
_cell_angle_alpha 90.00
_cell_angle_beta 90.00
_cell_angle_gamma 120.00
_symmetry_space_group_name_H-M 'R -3'
_symmetry_Int_Tables_number 148
_symmetry_space_group_name_Hall '-R 3'
loop_
_atom_site_label
_atom_site_fract_x
_atom_site_fract_y
_atom_site_fract_z
Pm1 0.0400 0.7912 0.0802
Pm2 0.0439 0.8618 0.7094
Mg1 0.0000 0.0000 0.5000
Sn1 0.0000 0.0000 0.0000
Sn2 0.0689 0.5946 0.0759
```


No. 3
VASP calculation (PBE) on crystalline Pm4MgSn3 at its relaxed geometry.

Calculated values
energy	-37.3	eV for the cell shown
size of the total moment	0.362	μB per formula unit
E_form	-0.59	eV per atom

Geometry as CIF:
```
data_Pm4MgSn3
_chemical_formula_sum 'Pm4 Mg1 Sn3'
_cell_length_a 4.4499
_cell_length_b 4.5727
_cell_length_c 11.8144
_cell_angle_alpha 90.00
_cell_angle_beta 90.00
_cell_angle_gamma 90.00
_symmetry_space_group_name_H-M 'P m m 2'
_symmetry_Int_Tables_number 25
loop_
_symmetry_equiv_pos_as_xyz
'x,y,z'
'-x,-y,z'
'-x,y,z'
'x,-y,z'
loop_
_atom_site_label
_atom_site_fract_x
_atom_site_fract_y
_atom_site_fract_z
Pm1 0.0000 0.0000 0.0000
Pm2 0.0000 0.5000 0.4949
Pm3 0.5000 0.0000 0.7188
Pm4 0.5000 0.5000 0.2226
Mg1 0.0000 0.5000 0.7843
Sn1 0.0000 0.0000 0.2697
Sn2 0.5000 0.0000 0.4469
Sn3 0.5000 0.5000 0.9435
```


No. 4
VASP calculation (PBE) on crystalline Pm3MgSn6 at its relaxed geometry.

Calculated values
energy	-87.9	eV for the cell shown
size of the total moment	0.000	μB per formula unit
E_form	-0.41	eV per atom

Geometry as CIF:
```
data_Pm3MgSn6
_chemical_formula_sum 'Pm6 Mg2 Sn12'
_cell_length_a 7.1436
_cell_length_b 9.6875
_cell_length_c 10.3389
_cell_angle_alpha 90.00
_cell_angle_beta 126.52
_cell_angle_gamma 90.00
_symmetry_space_group_name_H-M 'P 1 21/c 1'
_symmetry_Int_Tables_number 14
loop_
_symmetry_equiv_pos_as_xyz
'x,y,z'
'-x,-y,-z'
'-x,y+1/2,-z+1/2'
'x,-y+1/2,z+1/2'
loop_
_atom_site_label
_atom_site_fract_x
_atom_site_fract_y
_atom_site_fract_z
Pm1 0.0000 0.0000 0.0000
Pm2 0.2591 0.0890 0.7140
Mg1 0.5000 0.0000 0.5000
Sn1 0.0211 0.1727 0.2988
Sn2 0.2702 0.7148 0.0612
Sn3 0.4440 0.1876 0.0751
```


Number 1: density 4.1 g cm⁻³. Number 2: density 7.0 g cm⁻³. Number 3: density 6.6 g cm⁻³. Number 4: density 6.8 g cm⁻³.